[1]
Here is a relaxed AcPr4NdDy2 crystal from the Alexandria database. Energies are from GGA-PBE.

Output
**Space-group type**: C2/m (12)
**Size of the total moment**: 0.00 μB per cell
**Energy of formation from the pure elements**: 29 meV per atom
**Calculated volume**: 35.9 Å³/atom

Cell lengths 6.4101, 6.4101, 10.5135 Å; angles 114.27, 114.27, 48.20 degrees
Last column: nearest neighbours and their distance in Å.
Element x y z (fractional)
Ac1 0.0000 0.0000 0.0000  8 Pr 3.72-3.73, 4 Dy 3.75
Pr1 0.2477 0.2477 0.8706  1 Nd 3.66, 4 Dy 3.68-3.78, 4 Pr 3.70-3.76, 3 Ac 3.72
Pr2 0.2510 0.2510 0.3776  4 Dy 3.65-3.71, 4 Pr 3.68-3.70, 3 Nd 3.69-3.70, 1 Ac 3.73
Pr3 0.7490 0.7490 0.6224  4 Dy 3.65-3.71, 4 Pr 3.68-3.70, 3 Nd 3.69-3.70, 1 Ac 3.73
Pr4 0.7523 0.7523 0.1294  1 Nd 3.66, 4 Dy 3.68-3.78, 4 Pr 3.70-3.76, 3 Ac 3.72
Nd1 0.0000 0.0000 0.5000  8 Pr 3.66-3.70, 4 Dy 3.67
Dy1 0.4993 0.4993 0.2549  8 Pr 3.65-3.78, 2 Nd 3.67, 2 Ac 3.75
Dy2 0.5007 0.5007 0.7451  8 Pr 3.65-3.78, 2 Nd 3.67, 2 Ac 3.75

[2]
Here is a relaxed Dy4Y6Ho crystal from the Alexandria database. Energies are from GGA-PBE.

Output
**Space-group type**: Cmcm (63)
**Size of the total moment**: 0.00 μB per cell
**Energy of formation from the pure elements**: 125 meV per atom
**Calculated volume**: 32.1 Å³/atom

Cell lengths 5.6030, 5.6030, 25.6952 Å; angles 90.00, 90.00, 118.86 degrees
Last column: nearest neighbours and their distance in Å.
Element x y z (fractional)
Dy1 0.0247 0.9753 0.6211  5 Y 3.12-3.31
Dy2 0.0247 0.9753 0.8789  5 Y 3.12-3.31
Dy3 0.3411 0.6589 0.5424  8 Y 3.41-3.78, 2 Dy 3.66-3.76
Dy4 0.3411 0.6589 0.9576  8 Y 3.41-3.78, 2 Dy 3.66-3.76
Dy5 0.6589 0.3411 0.0424  8 Y 3.41-3.78, 2 Dy 3.66-3.76
Dy6 0.6589 0.3411 0.4576  8 Y 3.41-3.78, 2 Dy 3.66-3.76
Dy7 0.9753 0.0247 0.1211  5 Y 3.12-3.31
Dy8 0.9753 0.0247 0.3789  5 Y 3.12-3.31
Y1 0.0000 0.0000 0.0000  8 Dy 3.12-3.47
Y2 0.0000 0.0000 0.5000  8 Dy 3.12-3.47
Y3 0.0163 0.9837 0.7500  3 Ho 3.22-3.27, 2 Dy 3.31
Y4 0.3135 0.6865 0.1042  5 Dy 3.28-3.59
Y5 0.3135 0.6865 0.3958  5 Dy 3.28-3.59
Y6 0.3526 0.6474 0.6816  7 Y 3.52-3.83, 4 Dy 3.52-3.65, 3 Ho 3.63-3.73
Y7 0.3526 0.6474 0.8184  7 Y 3.52-3.83, 4 Dy 3.52-3.65, 3 Ho 3.63-3.73
Y8 0.6474 0.3526 0.1816  7 Y 3.52-3.83, 4 Dy 3.52-3.65, 3 Ho 3.63-3.73
Y9 0.6474 0.3526 0.3184  7 Y 3.52-3.83, 4 Dy 3.52-3.65, 3 Ho 3.63-3.73
Y10 0.6865 0.3135 0.6042  5 Dy 3.28-3.59
Y11 0.6865 0.3135 0.8958  5 Dy 3.28-3.59
Y12 0.9837 0.0163 0.2500  3 Ho 3.22-3.27, 2 Dy 3.31
Ho1 0.3178 0.6822 0.2500  3 Y 3.22-3.27
Ho2 0.6822 0.3178 0.7500  3 Y 3.22-3.27

[3]
Here is a relaxed LaPd2Pt crystal from the Alexandria database. Energies are from GGA-PBE.

Output
**Space-group type**: P4/mmm (123)
**Size of the total moment**: 0.00 μB per cell
**Energy of formation from the pure elements**: -829 meV per atom
**Calculated volume**: 19.0 Å³/atom

Cell lengths 4.2418, 4.2418, 4.2165 Å; angles 90.00, 90.00, 90.00 degrees
Last column: nearest neighbours and their distance in Å.
Element x y z (fractional)
La1 0.0000 0.0000 0.0000  8 Pd 2.99, 4 Pt 3.00
Pd1 0.0000 0.5000 0.5000  4 Pt 2.99, 4 La 2.99, 4 Pd 3.00
Pd2 0.5000 0.0000 0.5000  4 Pt 2.99, 4 La 2.99, 4 Pd 3.00
Pt1 0.5000 0.5000 0.0000  8 Pd 2.99, 4 La 3.00